Record 1
Below is crystalline Cs4Na3SnCl8 at its relaxed geometry, with properties calculated at the PBE level.

Lattice parameters (Å, degrees): 9.423 9.423 9.205 114.24 114.24 53.89
Sites, in units of the cell vectors:
Cs 0.000 0.000 0.000
Cs 0.000 0.500 0.500
Cs 0.500 0.000 0.500
Cs 0.500 0.500 0.000
Na 0.000 0.000 0.500
Na 0.000 0.500 0.000
Na 0.500 0.000 0.000
Sn 0.500 0.500 0.500
Cl 0.224 0.224 0.176
Cl 0.234 0.752 0.700
Cl 0.248 0.766 0.300
Cl 0.266 0.266 0.808
Cl 0.734 0.734 0.192
Cl 0.752 0.234 0.700
Cl 0.766 0.248 0.300
Cl 0.776 0.776 0.824

Summary:
The raw total energy comes out at -52.1 eV for the cell shown. Its symmetry is C2/m (12). For the density, the calculation gives 2.8 g/cm³.

***

Record 2
Below is crystalline AlAgCl2 at its relaxed geometry, with properties calculated at the PBE level.

Lattice parameters (Å, degrees): 3.632 3.701 7.302 90.00 102.04 90.00
Sites, in units of the cell vectors:
Al 0.000 0.000 0.000
Ag 0.500 0.000 0.500
Cl 0.384 0.500 0.744
Cl 0.616 0.500 0.256

Summary:
The raw total energy comes out at -11.5 eV for the cell shown. Its symmetry is P2/m (10). For the density, the calculation gives 3.6 g/cm³. The calculation puts the energy above the lowest structure with this stoichiometry at 453 meV per atom.

***

no.,ΔE_f (raw) (eV per formula unit)
1,-25.92
2,-1.17